BeCrSi2 | GGA-PBE | relaxed

abc: 4.368 4.368 2.543
angles: 90.28 90.28 110.25
Atoms (fractional coordinates):
Be (0.000, 0.000, 0.000)
Cr (0.500, 0.500, 0.000)
Si (0.000, 0.500, 0.500)
Si (0.500, 0.000, 0.500)

Values from the calculation:
SG	C2/m, No. 12
formation energy without anion corrections	0.13	eV per atom
V	46	Å³ per cell
crystal system	monoclinic

***

CeTh2H8 | GGA-PBE | relaxed

abc: 6.491 6.491 6.491
angles: 147.78 123.35 66.69
Atoms (fractional coordinates):
Ce (0.000, 0.000, 0.000)
Th (0.331, 0.331, 0.000)
Th (0.669, 0.669, 0.000)
H (0.090, 0.835, 0.255)
H (0.169, 0.669, 0.500)
H (0.263, 0.500, 0.763)
H (0.420, 0.165, 0.255)
H (0.580, 0.835, 0.745)
H (0.737, 0.500, 0.237)
H (0.831, 0.331, 0.500)
H (0.910, 0.165, 0.745)

Values from the calculation:
SG	Immm, No. 71
total energy	-52.759	eV/f.u.
V	120	Å³ per cell
crystal system	orthorhombic

***

Mg14AlCd | GGA-PBE | relaxed

abc: 6.351 6.351 10.152
angles: 90.00 90.00 120.00
Atoms (fractional coordinates):
Mg (0.000, 0.000, 0.249)
Mg (0.000, 0.000, 0.751)
Mg (0.003, 0.501, 0.246)
Mg (0.003, 0.501, 0.754)
Mg (0.331, 0.166, 0.000)
Mg (0.333, 0.167, 0.500)
Mg (0.499, 0.501, 0.246)
Mg (0.499, 0.501, 0.754)
Mg (0.499, 0.997, 0.246)
Mg (0.499, 0.997, 0.754)
Mg (0.833, 0.167, 0.500)
Mg (0.833, 0.667, 0.500)
Mg (0.834, 0.166, 0.000)
Mg (0.834, 0.669, 0.000)
Al (0.333, 0.667, 0.000)
Cd (0.333, 0.667, 0.500)

Values from the calculation:
SG	P-6m2, No. 187
V	355	Å³ per cell
crystal system	hexagonal
ΔE to the lowest computed polymorph	0.0	kJ/mol of atoms

***

Repeat the third record exactly.
Mg14AlCd | GGA-PBE | relaxed

abc: 6.351 6.351 10.152
angles: 90.00 90.00 120.00
Atoms (fractional coordinates):
Mg (0.000, 0.000, 0.249)
Mg (0.000, 0.000, 0.751)
Mg (0.003, 0.501, 0.246)
Mg (0.003, 0.501, 0.754)
Mg (0.331, 0.166, 0.000)
Mg (0.333, 0.167, 0.500)
Mg (0.499, 0.501, 0.246)
Mg (0.499, 0.501, 0.754)
Mg (0.499, 0.997, 0.246)
Mg (0.499, 0.997, 0.754)
Mg (0.833, 0.167, 0.500)
Mg (0.833, 0.667, 0.500)
Mg (0.834, 0.166, 0.000)
Mg (0.834, 0.669, 0.000)
Al (0.333, 0.667, 0.000)
Cd (0.333, 0.667, 0.500)

Values from the calculation:
SG	P-6m2, No. 187
V	355	Å³ per cell
crystal system	hexagonal
ΔE to the lowest computed polymorph	0.0	kJ/mol of atoms

***

- The highest V belongs to which entry?
  Mg14AlCd